Record 1
TaAl4Ag (PBE, relaxed); E_form = 0.139 eV per atom; space group = No. 216
1.0
0.000 3.681 3.681
3.681 0.000 3.681
3.681 3.681 0.000
Ta Al Ag
1 4 1
direct
0.000 0.000 0.000
0.375 0.375 0.375
0.375 0.375 0.876
0.375 0.876 0.375
0.876 0.375 0.375
0.750 0.750 0.750


Record 2
TaAlAg2 (PBE, relaxed); E_form = 0.190 eV per atom; space group = No. 8; energy relative to the lowest polymorph listed for this composition = 0.853 eV/f.u.
1.0
5.182 -1.397 0.000
5.182 1.397 0.000
-1.885 0.000 4.819
Ta Al Ag
1 1 2
direct
0.000 0.000 0.000
0.254 0.254 0.888
0.534 0.534 0.526
0.771 0.771 0.373


Record 3
TaAlAg (PBE, relaxed); E_form = 0.083 eV per atom; space group = No. 156; energy relative to the lowest polymorph listed for this composition = 0.590 eV/f.u.
1.0
2.902 0.000 0.000
-1.451 2.513 0.000
0.000 0.000 7.120
Ta Al Ag
1 1 1
direct
0.000 0.000 0.000
0.333 0.667 0.673
0.667 0.333 0.352